Entry 1:
An optimized crystal structure of Li2CaTb2Pb2, computed with PBE.

Properties
The formation energy is -2.414 eV/f.u. The uncorrected energy comes out at -3.56 eV/atom.

POSCAR file:
```
Li2CaTb2Pb2
1.0
2.4369 1.4069 9.2194
-2.4369 1.4069 9.2194
0.0000 -2.8139 9.2194
Li Ca Tb Pb
2 1 2 2
Cartesian
0.0000 0.0000 2.5542 Li
0.0000 0.0000 25.1039 Li
0.0000 0.0000 13.8290 Ca
0.0000 0.0000 10.2434 Tb
0.0000 0.0000 17.4147 Tb
0.0000 0.0000 6.6860 Pb
0.0000 0.0000 20.9721 Pb
```



Entry 2:
An optimized crystal structure of As2Ir2S, computed with PBE.

Properties
Its energy relative to the elements, uncorrected is 0.21 eV per atom. The value obtained for the polymorph energy (0 for the lowest one) is 0 meV per atom. The uncorrected energy comes out at -6.02 eV/atom.

POSCAR file:
```
As2Ir2S
1.0
-2.0184 2.0184 5.5601
2.0184 -2.0184 5.5601
2.0184 2.0184 -5.5601
As Ir S
2 2 1
Cartesian
0.0000 0.0000 1.3354 As
0.0000 0.0000 9.7849 As
2.0184 0.0000 2.7801 Ir
0.0000 2.0184 2.7801 Ir
0.0000 0.0000 5.5601 S
```



Entry 3:
An optimized crystal structure of Nd2Ga4NiAu3, computed with PBE.

Properties
The formation energy is -6.080 eV/f.u. The uncorrected energy comes out at -4.33 eV/atom.

POSCAR file:
```
Nd2Ga4NiAu3
1.0
4.3540 0.0000 0.0000
0.0000 4.3540 0.0000
0.0000 0.0000 10.5991
Nd Ga Ni Au
2 4 1 3
Cartesian
0.0000 2.1770 2.5514 Nd
2.1770 0.0000 8.0477 Nd
0.0000 0.0000 5.2995 Ga
0.0000 2.1770 9.3229 Ga
2.1770 0.0000 1.2762 Ga
2.1770 2.1770 5.2995 Ga
2.1770 2.1770 0.0000 Ni
0.0000 0.0000 0.0000 Au
0.0000 2.1770 6.7839 Au
2.1770 0.0000 3.8152 Au
```



Entry 4:
An optimized crystal structure of Nd4DyTm4, computed with PBE.

Properties
The formation energy is 0.223 eV/f.u. The value obtained for the polymorph energy (0 for the lowest one) is 0 meV per atom. The uncorrected energy comes out at -4.59 eV/atom.

POSCAR file:
```
Nd4DyTm4
1.0
-5.3768 5.3768 2.5260
5.3768 -5.3768 2.5260
5.3768 5.3768 -2.5260
Nd Dy Tm
4 1 4
Cartesian
3.5461 0.0000 0.0000 Nd
7.2075 0.0000 0.0000 Nd
0.0000 3.5461 0.0000 Nd
0.0000 7.2075 0.0000 Nd
0.0000 0.0000 0.0000 Dy
3.5951 3.5951 0.0000 Tm
1.7817 -1.7817 2.5260 Tm
-1.7817 1.7817 2.5260 Tm
1.7817 1.7817 2.5260 Tm
```